Record 1
4
Lattice="-1.8273 0.5364 -4.8307 2.4871 -2.2244 -3.9785 -2.1186 -4.0642 -2.4406" Properties=species:S:1:pos:R:3 comment="GdDyMgGa, optimized geometry, DFT PBE" energy_ev_per_atom=-6.166 dos_ef_per_ev_atom=0.7480 delta_e_f_ev_per_atom=-0.34 total_magnetization_mub_per_fu=7.3 pbc="T T T"
Ga -0.3647 -1.4380 -2.8125
Mg -1.0941 -4.3141 -8.4374
Gd 0.0000 0.0000 0.0000
Dy -0.7294 -2.8761 -5.6249



Record 2
8
Lattice="6.5739 0.0000 0.0000 0.0000 6.5739 0.0000 3.2869 3.2869 4.6901" Properties=species:S:1:pos:R:3 comment="InCCl2, optimized geometry, DFT PBE" e_form_raw_ev_per_atom=0.9416 energy_ev_per_atom=-2.972 de_polymorph_ev_per_atom=0.0000 dos_ef_per_ev_atom=0.6055 total_magnetization_mub_per_fu=0.6 pbc="T T T"
In 6.5739 3.2869 2.3450
Cl 3.2855 1.6435 1.1725
C 3.2869 3.2869 0.0000
C 3.2869 6.5739 2.3450
In 0.0000 0.0000 0.0000
Cl 3.2883 4.9304 1.1725
Cl 4.9304 6.5753 3.5176
Cl 8.2173 6.5725 3.5176



Record 3
7
Lattice="3.9487 0.0000 0.0000 0.0000 3.8151 -1.1331 0.0000 0.0932 7.3030" Properties=species:S:1:pos:R:3 comment="PuSi2Ru4, optimized geometry, DFT PBE" e_form_raw_ev_per_atom=-0.4535 energy_ev_per_atom=-9.351 de_polymorph_ev_per_atom=0.0269 dos_ef_per_ev_atom=1.8103 total_magnetization_mub_per_fu=5.2 pbc="T T T"
Ru 0.0000 1.2450 4.1918
Pu 0.0000 0.0000 0.0000
Ru 1.9743 0.7462 2.5123
Si 1.9743 2.2521 0.5933
Ru 0.0000 2.6633 1.9781
Ru 1.9743 3.1622 3.6576
Si 1.9743 1.6563 5.5766